1.
First-principles (GGA-PBE) data for crystalline AgHg4I2 at its relaxed geometry, as listed in the Alexandria database.

As for the total DFT energy (no corrections): -1.08 eV/atom. The formation energy from raw total energies is -0.061 eV per atom. As for the energy above the most stable polymorph in this dataset: 16 meV per atom.

The space group is I4/mmm (No. 139) and the conventional cell measures 5.558, 5.558 and 16.356 Å, with angles of 90.00, 90.00 and 90.00 degrees. The asymmetric unit holds Ag at (0.000, 0.000, 0.000), Hg at (0.000, 0.000, 0.163), Hg at (0.000, 0.500, 0.000) and I at (0.000, 0.000, 0.336).



2.
First-principles (GGA-PBE) data for crystalline Ag3HgI4 at its relaxed geometry, as listed in the Alexandria database.

As for the total DFT energy (no corrections): -2.06 eV/atom. The formation energy from raw total energies is -0.174 eV per atom. As for the energy above the most stable polymorph in this dataset: 0 meV per atom.

The space group is I-42m (No. 121) and the conventional cell measures 6.791, 6.791 and 13.559 Å, with angles of 90.00, 90.00 and 90.00 degrees. The asymmetric unit holds Ag at (0.000, 0.000, 0.000), Ag at (0.000, 0.500, 0.250), Hg at (0.000, 0.000, 0.500) and I at (0.230, 0.230, 0.866).



3.
First-principles (GGA-PBE) data for crystalline Ag3HgI at its relaxed geometry, as listed in the Alexandria database.

As for the total DFT energy (no corrections): -1.56 eV/atom. The formation energy from raw total energies is 0.520 eV per atom. As for the energy above the most stable polymorph in this dataset: 0 meV per atom.

The space group is Pm-3m (No. 221) and the conventional cell measures 5.343, 5.343 and 5.343 Å, with angles of 90.00, 90.00 and 90.00 degrees. The asymmetric unit holds Ag at (0.000, 0.000, 0.500), Hg at (0.000, 0.000, 0.000) and I at (0.500, 0.500, 0.500).